[1]
Ce3GeC | the Alexandria database | PBE | optimized geometry; space group = Pnma, No. 62; magnetic moment = 1.79 μB/f.u.; uncorrected energy = -33.81 eV/f.u.; energy of formation from the pure elements = -433 meV per atom
1.0
8.164 0.000 0.000
0.000 3.794 0.000
0.000 0.000 14.179
Ce Ge C
12 4 4
Cartesian
0.224 0.949 1.495 Ce
1.171 0.949 7.073 Ce
1.612 2.846 4.093 Ce
2.470 0.949 11.183 Ce
2.911 2.846 14.162 Ce
3.858 2.846 8.585 Ce
4.306 0.949 5.595 Ce
5.252 0.949 0.017 Ce
5.694 2.846 2.997 Ce
6.552 0.949 10.086 Ce
6.993 2.846 7.107 Ce
7.940 2.846 12.684 Ce
0.746 2.846 9.532 Ge
3.336 0.949 2.443 Ge
4.828 2.846 11.737 Ge
7.418 0.949 4.647 Ge
1.330 0.949 13.387 C
2.752 2.846 6.297 C
5.411 0.949 7.882 C
6.834 2.846 0.792 C



[2]
Ce8Ge2C3 | the Alexandria database | PBE | optimized geometry; space group = C2/m, No. 12; magnetic moment = 1.17 μB/f.u.; uncorrected energy = -87.23 eV/f.u.; energy of formation from the pure elements = -219 meV per atom
1.0
7.214 -3.428 0.000
7.214 3.428 0.000
-1.482 0.000 6.256
Ce Ge C
8 2 3
Cartesian
0.190 0.000 5.953 Ce
4.957 1.847 3.849 Ce
7.989 1.847 2.407 Ce
5.544 0.000 0.731 Ce
7.403 0.000 5.525 Ce
4.957 -1.847 3.849 Ce
7.989 -1.847 2.407 Ce
12.757 0.000 0.303 Ce
2.660 0.000 4.280 Ge
10.287 0.000 1.977 Ge
7.214 1.648 0.000 C
6.473 0.000 3.128 C
7.214 -1.648 0.000 C



[3]
Ce6Ge3C | the Alexandria database | PBE | optimized geometry; space group = C2/m, No. 12; magnetic moment = 4.47 μB/f.u.; uncorrected energy = -62.54 eV/f.u.; energy of formation from the pure elements = -386 meV per atom
1.0
5.351 -3.151 0.000
5.351 3.151 0.000
-1.629 0.000 7.052
Ce Ge C
6 3 1
Cartesian
3.057 1.715 4.416 Ce
6.015 1.715 2.637 Ce
3.639 0.000 1.005 Ce
5.434 0.000 6.047 Ce
3.057 -1.715 4.416 Ce
6.015 -1.715 2.637 Ce
0.000 0.000 0.000 Ge
0.525 0.000 5.300 Ge
8.548 0.000 1.752 Ge
4.536 0.000 3.526 C